CaSm2WO8 | GGA+U | relaxed

Cell lengths 5.4272, 4.2771, 6.8790 Å; angles 75.04, 91.71, 89.43 degrees
Positions (direct):
Sm: 0.4878 0.6228 0.2095
Sm: 0.5122 0.3772 0.7905
O: 0.5459 0.8346 0.5018
O: 0.2978 0.1924 0.0865
O: 0.0534 0.6724 0.2615
O: 0.2244 0.7929 0.8590
O: 0.7756 0.2071 0.1410
O: 0.4541 0.1654 0.4982
O: 0.7022 0.8076 0.9135
O: 0.9466 0.3276 0.7385
Ca: 0.0000 0.0000 0.5000
W: 0.0000 0.0000 0.0000

Calculated values
* E: -0.2721 Ha/atom